# 1
8
Lattice="-5.324 -3.857 0.469 0.523 0.076 6.570 -3.971 0.290 3.619" Properties=species:S:1:pos:R:3 comment="PBE V2GaP, relaxed" mass_density_g_cm3=5.760 e_above_lowest_polymorph_mev_per_atom=24.0 energy_ev_per_cell=-53.87 dos_ef_per_ev_atom=0.812 pbc="T T T"
P -2.401 -1.890 3.519
P -2.925 -0.762 6.854
Ga 0.000 0.000 0.000
Ga -5.848 -2.728 3.803
V -4.090 -2.208 2.004
V -1.497 -0.482 5.084
V -4.763 -1.197 5.558
V -7.196 -3.092 8.668

# 2
5
Lattice="-3.721 1.081 -2.540 1.899 -2.093 -3.672 -2.004 -3.990 1.238" Properties=species:S:1:pos:R:3 comment="PBE VGaP3, relaxed" mass_density_g_cm3=3.565 e_above_lowest_polymorph_mev_per_atom=820.2 energy_ev_per_cell=-22.99 dos_ef_per_ev_atom=1.537 pbc="T T T"
P 0.949 -1.047 -1.836
P -1.002 -1.995 0.619
P -1.861 0.541 -1.270
Ga 0.000 0.000 0.000
V -1.914 -2.501 -2.487

# 3
18
Lattice="-0.267 2.644 -1.480 -4.779 -0.842 -0.642 -7.196 8.383 16.269" Properties=species:S:1:pos:R:3 comment="PBE VGaP, relaxed" mass_density_g_cm3=5.241 energy_ev_per_cell=-107.54 dos_ef_per_ev_atom=0.678 pbc="T T T"
V -7.612 8.114 15.865
V -9.549 4.890 10.456
V -2.513 2.484 4.890
V -8.572 8.233 13.125
V -6.149 5.006 6.925
V -3.127 2.492 1.890
Ga -4.557 1.272 -0.031
Ga -9.926 7.596 15.357
Ga -5.297 0.966 2.681
Ga -8.229 3.851 8.363
Ga -6.938 6.206 12.335
Ga -3.986 3.376 6.748
P -9.122 7.069 11.145
P -6.286 3.769 4.740
P -1.921 0.548 1.324
P -11.230 8.030 13.243
P -5.656 6.194 8.957
P -4.290 3.435 3.784

# 4
5
Lattice="4.804 0.000 0.000 0.000 4.804 0.000 0.000 0.000 4.804" Properties=species:S:1:pos:R:3 comment="PBE VGa3P, relaxed" mass_density_g_cm3=4.358 e_above_lowest_polymorph_mev_per_atom=82.8 energy_ev_per_cell=-19.47 dos_ef_per_ev_atom=1.151 pbc="T T T"
P 2.402 2.402 2.402
Ga 0.000 2.402 0.000
Ga 0.000 0.000 2.402
Ga 2.402 0.000 0.000
V 0.000 0.000 0.000

# 5
9
Lattice="2.476 0.000 -0.777 0.000 7.470 0.000 -2.441 -3.735 7.326" Properties=species:S:1:pos:R:3 comment="PBE V6Ga2P, relaxed" mass_density_g_cm3=6.518 energy_ev_per_cell=-67.36 dos_ef_per_ev_atom=0.670 pbc="T T T"
V 0.028 1.217 2.133
V 0.007 4.952 4.415
V 0.007 2.517 4.415
V 1.238 2.394 -0.389
V 0.028 -1.217 2.133
V 1.238 5.076 -0.389
Ga 0.767 3.735 1.938
Ga -0.732 0.000 4.610
P 0.000 0.000 0.000

# 6
4
Lattice="4.094 -0.568 0.896 1.128 -2.189 3.438 1.742 -3.832 -0.410" Properties=species:S:1:pos:R:3 comment="PBE V2GaP, relaxed" mass_density_g_cm3=6.289 e_above_lowest_polymorph_mev_per_atom=0.0 energy_ev_per_cell=-27.03 dos_ef_per_ev_atom=1.657 pbc="T T T"
P 0.000 0.000 0.000
Ga 3.482 -3.295 1.962
V 1.741 -1.647 0.981
V 5.223 -4.942 2.943